[1]
The following is a DFT calculation (PBE-GGA) of a relaxed structure of SrP6Rh12.

Summary:
formation energy: -12.88 eV/f.u.

Cell lengths 11.0997, 11.0997, 8.3049 Å; angles 90.00, 90.00, 120.00 degrees
Space group R-3m (No. 166, hexagonal axes)
One atom of each set of equivalent atoms:
1 Sr 0.0000 0.0000 0.0000 x3
2 P 0.0535 0.5268 0.2890 x18
3 Rh 0.0000 0.3684 0.5000 x18
4 Rh 0.0917 0.1835 0.3660 x18

=====

[2]
The following is a DFT calculation (PBE-GGA) of a relaxed structure of PmNd6Sm3Er2.

Summary:
formation energy: 0.16 eV/f.u.

Cell lengths 6.3102, 10.9289, 12.0086 Å; angles 90.00, 100.09, 90.00 degrees
Space group C2/m (No. 12)
One atom of each set of equivalent atoms:
1 Pm 0.0000 0.0000 0.0000 x2
2 Nd 0.2490 0.5000 0.2478 x4
3 Nd 0.2503 0.1671 0.2481 x8
4 Sm 0.0000 0.1668 0.5000 x4
5 Sm 0.0000 0.5000 0.5000 x2
6 Er 0.0000 0.3334 0.0000 x4

=====

[3]
The following is a DFT calculation (PBE-GGA) of a relaxed structure of InGePd.

Summary:
formation energy: -0.68 eV/f.u.

Cell lengths 3.3281, 3.3281, 21.5615 Å; angles 90.00, 90.00, 90.00 degrees
Space group I4/mmm (No. 139)
One atom of each set of equivalent atoms:
1 In 0.0000 0.0000 0.0677 x4
2 Ge 0.0000 0.0000 0.2098 x4
3 Pd 0.0000 0.0000 0.3460 x4

=====

[4]
The following is a DFT calculation (PBE-GGA) of a relaxed structure of PaAl2ZnCu2.

Summary:
formation energy: 0.94 eV/f.u.

Cell lengths 4.4095, 4.4095, 5.6194 Å; angles 90.00, 90.00, 90.00 degrees
Space group P4/mmm (No. 123)
One atom of each set of equivalent atoms:
1 Pa 0.0000 0.0000 0.0000 x1
2 Al 0.5000 0.5000 0.2340 x2
3 Zn 0.0000 0.0000 0.5000 x1
4 Cu 0.0000 0.5000 0.5000 x2

=====

[5]
The following is a DFT calculation (PBE-GGA) of a relaxed structure of MgCdH3.

Summary:
final energy: -11.38 eV for the cell shown

Cell lengths 3.8634, 3.8634, 3.8634 Å; angles 90.00, 90.00, 90.00 degrees
Space group Pm-3m (No. 221)
One atom of each set of equivalent atoms:
1 Mg 0.0000 0.0000 0.0000 x1
2 Cd 0.5000 0.5000 0.5000 x1
3 H 0.0000 0.0000 0.5000 x3

=====

[6]
The following is a DFT calculation (PBE-GGA) of a relaxed structure of Hf3SeN3.

Summary:
ΔE_f (raw): -1559 meV per atom

Cell lengths 6.2389, 6.2389, 19.7710 Å; angles 90.00, 90.00, 120.00 degrees
Space group R-3 (No. 148, hexagonal axes)
One atom of each set of equivalent atoms:
1 Hf 0.0010 0.6693 0.2317 x18
2 Se 0.0000 0.0000 0.3328 x6
3 N 0.0034 0.6747 0.1219 x18

=====

[7]
The following is a DFT calculation (PBE-GGA) of a relaxed structure of Cs2K6Pd.

Summary:
formation energy: 0.36 eV/f.u.

Cell lengths 10.4430, 10.4430, 11.5195 Å; angles 90.00, 90.00, 90.00 degrees
Space group I4/mmm (No. 139)
One atom of each set of equivalent atoms:
1 Cs 0.0000 0.5000 0.2500 x4
2 K 0.0000 0.0000 0.2171 x4
3 K 0.2189 0.2189 0.5000 x8
4 Pd 0.0000 0.0000 0.5000 x2

=====

[8]
The following is a DFT calculation (PBE-GGA) of a relaxed structure of TlIr.

Summary:
formation energy: 1.22 eV/f.u.

Cell lengths 2.9960, 2.9960, 32.6873 Å; angles 90.00, 90.00, 120.00 degrees
Space group R-3m (No. 166, hexagonal axes)
One atom of each set of equivalent atoms:
1 Tl 0.0000 0.0000 0.1088 x6
2 Ir 0.0000 0.0000 0.3641 x6

=====

[9]
The following is a DFT calculation (PBE-GGA) of a relaxed structure of TlCo2Pt.

Summary:
formation energy: 1.47 eV/f.u.

Cell lengths 5.6965, 7.2952, 2.8734 Å; angles 90.00, 90.00, 90.00 degrees
Space group Cmmm (No. 65)
One atom of each set of equivalent atoms:
1 Tl 0.0000 0.0000 0.0000 x2
2 Co 0.2500 0.2500 0.5000 x4
3 Pt 0.0000 0.5000 0.0000 x2

=====

[10]
The following is a DFT calculation (PBE-GGA) of a relaxed structure of TbSc4Pd5.

Summary:
formation energy: -8.84 eV/f.u.

Cell lengths 3.2988, 3.2988, 17.2872 Å; angles 90.00, 90.00, 90.00 degrees
Space group P4/mmm (No. 123)
One atom of each set of equivalent atoms:
1 Tb 0.0000 0.0000 0.0000 x1
2 Sc 0.0000 0.0000 0.2076 x2
3 Sc 0.0000 0.0000 0.4028 x2
4 Pd 0.5000 0.5000 0.1155 x2
5 Pd 0.5000 0.5000 0.3059 x2
6 Pd 0.5000 0.5000 0.5000 x1

=====

[11]
The following is a DFT calculation (PBE-GGA) of a relaxed structure of InTeAs2.

Summary:
ΔE_f (raw): 289 meV per atom

Cell lengths 4.0339, 4.0339, 6.1451 Å; angles 90.00, 90.00, 90.00 degrees
Space group P4/mmm (No. 123)
One atom of each set of equivalent atoms:
1 In 0.0000 0.0000 0.0000 x1
2 Te 0.0000 0.0000 0.5000 x1
3 As 0.5000 0.5000 0.2031 x2

=====

[12]
The following is a DFT calculation (PBE-GGA) of a relaxed structure of Mn2PdAu5.

Summary:
formation energy: -0.65 eV/f.u.

Cell lengths 5.8509, 11.5738, 4.0329 Å; angles 90.00, 90.00, 90.00 degrees
Space group Pbam (No. 55)
One atom of each set of equivalent atoms:
1 Mn 0.2425 0.1210 0.0000 x4
2 Pd 0.0000 0.0000 0.5000 x2
3 Au 0.0000 0.5000 0.5000 x2
4 Au 0.0015 0.2495 0.5000 x4
5 Au 0.2459 0.8761 0.0000 x4

=====

Result set for DOS(E_F): 32.02 31.47 4.03 7.22 0.83 10.88 13.87 18.05 17.13 6.12 1.72 8.02 states/eV/cell, one per record in the order listed.